[1]
The following is a PBE-GGA calculation of a geometry-optimized Pm8Sb4Te3 structure, from Alexandria.

Summary:
As for the theoretical density: 6.8 Mg/m³. The value obtained for the uncorrected formation energy is -27.20 kcal/mol of atoms.

Unit cell a=8.9121 b=8.8969 c=8.8969 alpha=90.08 beta=120.00 gamma=120.00
Sites, in units of the cell vectors:
Pm  0.4940  0.2445  0.2445
Pm  0.5060  0.7555  0.7555
Pm  0.0041  0.7511  0.7511
Pm  0.0000  0.7513  0.2487
Pm  0.9959  0.2489  0.2489
Pm  0.0000  0.2487  0.7513
Pm  0.5000  0.7533  0.2467
Pm  0.5000  0.2467  0.7533
Te  0.5000  0.5000  0.5000
Te  0.5000  0.5000  0.0000
Te  0.5000  0.0000  0.5000
Sb  0.5000  0.0000  0.0000
Sb  0.0000  0.5000  0.0000
Sb  0.0000  0.0000  0.5000
Sb  0.0000  0.0000  0.0000

[2]
The following is a PBE-GGA calculation of a geometry-optimized Pm3Sb2Te3 structure, from Alexandria.

Summary:
As for the theoretical density: 7.2 Mg/m³. The value obtained for the uncorrected formation energy is -26.01 kcal/mol of atoms.

Unit cell a=6.1184 b=9.5983 c=9.5983 alpha=120.00 beta=90.00 gamma=90.00
Sites, in units of the cell vectors:
Te  0.2500  0.7301  0.0000
Te  0.2500  0.2699  0.2699
Te  0.7500  0.7301  0.7301
Te  0.7500  0.2699  0.0000
Te  0.7500  0.0000  0.2699
Te  0.2500  0.0000  0.7301
Sb  0.0000  0.3333  0.6667
Sb  0.5000  0.3333  0.6667
Sb  0.5000  0.6667  0.3333
Sb  0.0000  0.6667  0.3333
Pm  0.7500  0.0000  0.6222
Pm  0.2500  0.0000  0.3778
Pm  0.7500  0.6222  0.0000
Pm  0.7500  0.3778  0.3778
Pm  0.2500  0.3778  0.0000
Pm  0.2500  0.6222  0.6222

[3]
The following is a PBE-GGA calculation of a geometry-optimized Pm5Sb4Te structure, from Alexandria.

Summary:
As for the theoretical density: 6.9 Mg/m³. The value obtained for the uncorrected formation energy is -29.11 kcal/mol of atoms.

Unit cell a=4.4919 b=6.3442 c=11.8870 alpha=105.48 beta=100.89 gamma=90.00
Sites, in units of the cell vectors:
Te  0.0000  0.0000  0.0000
Sb  0.2005  0.2005  0.4009
Sb  0.4008  0.4008  0.8015
Sb  0.5992  0.5992  0.1985
Sb  0.7995  0.7995  0.5991
Pm  0.6039  0.1039  0.2078
Pm  0.8004  0.3004  0.6009
Pm  0.0000  0.5000  0.0000
Pm  0.1996  0.6996  0.3991
Pm  0.3961  0.8961  0.7922

[4]
The following is a PBE-GGA calculation of a geometry-optimized Pm8SbTe6 structure, from Alexandria.

Summary:
As for the theoretical density: 7.0 Mg/m³. The value obtained for the uncorrected formation energy is -24.17 kcal/mol of atoms.

Unit cell a=4.4686 b=11.1974 c=11.1974 alpha=120.00 beta=90.00 gamma=90.00
Sites, in units of the cell vectors:
Te  0.2470  0.1246  0.4782
Te  0.2470  0.3536  0.8754
Te  0.7530  0.4782  0.3536
Te  0.7530  0.8754  0.5218
Te  0.7530  0.6464  0.1246
Te  0.2470  0.5218  0.6464
Pm  0.7412  0.7306  0.6994
Pm  0.2588  0.0312  0.7306
Pm  0.2588  0.6994  0.9688
Pm  0.2544  0.6667  0.3333
Pm  0.7412  0.3006  0.0312
Pm  0.7412  0.9688  0.2694
Pm  0.7456  0.3333  0.6667
Pm  0.2588  0.2694  0.3006
Sb  0.5000  0.0000  0.0000

[5]
The following is a PBE-GGA calculation of a geometry-optimized Pm6SbTe12 structure, from Alexandria.

Summary:
As for the theoretical density: 6.1 Mg/m³. The value obtained for the uncorrected formation energy is -24.84 kcal/mol of atoms.

Unit cell a=8.9678 b=8.9678 c=8.9678 alpha=99.31 beta=99.31 gamma=99.31
Sites, in units of the cell vectors:
Te  0.6646  0.9572  0.0226
Te  0.5748  0.4294  0.8195
Te  0.0226  0.6646  0.9572
Te  0.9572  0.0226  0.6646
Te  0.1805  0.4252  0.5706
Te  0.4252  0.5706  0.1805
Te  0.3354  0.0428  0.9774
Te  0.9774  0.3354  0.0428
Te  0.5706  0.1805  0.4252
Te  0.8195  0.5748  0.4294
Te  0.0428  0.9774  0.3354
Te  0.4294  0.8195  0.5748
Pm  0.6800  0.8633  0.3598
Pm  0.3598  0.6800  0.8633
Pm  0.8633  0.3598  0.6800
Pm  0.1367  0.6402  0.3200
Pm  0.6402  0.3200  0.1367
Pm  0.3200  0.1367  0.6402
Sb  0.0000  0.0000  0.0000

[6]
The following is a PBE-GGA calculation of a geometry-optimized Pm4SbTe structure, from Alexandria.

Summary:
As for the theoretical density: 7.2 Mg/m³. The value obtained for the uncorrected formation energy is -14.11 kcal/mol of atoms.

Unit cell a=5.7130 b=7.7832 c=9.8973 alpha=113.73 beta=106.78 gamma=90.04
Sites, in units of the cell vectors:
Sb  0.2494  0.2499  0.0001
Sb  0.7506  0.7501  0.9999
Pm  0.6771  0.0340  0.8552
Pm  0.9285  0.0736  0.3560
Pm  0.0715  0.9264  0.6440
Pm  0.5725  0.4264  0.6439
Pm  0.1781  0.5337  0.8552
Pm  0.3229  0.9660  0.1448
Pm  0.4275  0.5736  0.3561
Pm  0.8219  0.4663  0.1448
Te  0.5000  0.0000  0.5000
Te  0.0000  0.5000  0.5000

[7]
The following is a PBE-GGA calculation of a geometry-optimized PmSb3Te6 structure, from Alexandria.

Summary:
As for the theoretical density: 6.1 Mg/m³. The value obtained for the uncorrected formation energy is -10.17 kcal/mol of atoms.

Unit cell a=4.3105 b=13.1761 c=13.0525 alpha=109.23 beta=90.00 gamma=90.00
Sites, in units of the cell vectors:
Pm  0.7500  0.0405  0.6947
Pm  0.2500  0.9595  0.3053
Te  0.7500  0.3972  0.0759
Te  0.2500  0.8945  0.5265
Te  0.7500  0.8019  0.7333
Te  0.7500  0.4657  0.6242
Te  0.2500  0.2418  0.7405
Te  0.7500  0.7582  0.2595
Te  0.7500  0.1055  0.4735
Te  0.2500  0.5343  0.3758
Te  0.2500  0.1981  0.2667
Te  0.2500  0.6028  0.9241
Te  0.7500  0.9274  0.1057
Te  0.2500  0.0726  0.8943
Sb  0.2500  0.2981  0.5438
Sb  0.7500  0.4428  0.8431
Sb  0.7500  0.7019  0.4562
Sb  0.7500  0.1472  0.1057
Sb  0.2500  0.5572  0.1569
Sb  0.2500  0.8528  0.8943

[8]
The following is a PBE-GGA calculation of a geometry-optimized Pm5Sb2Te4 structure, from Alexandria.

Summary:
As for the theoretical density: 5.7 Mg/m³. The value obtained for the uncorrected formation energy is -27.30 kcal/mol of atoms.

Unit cell a=4.5858 b=4.5858 c=23.6503 alpha=84.44 beta=84.44 gamma=60.00
Last column: magnetic moment on the atom in μB.
Sites, in units of the cell vectors:
Pm  0.2167  0.2167  0.3499  0.01
Pm  0.5000  0.5000  0.5000  0.00
Pm  0.6183  0.6183  0.1451  0.10
Pm  0.7833  0.7833  0.6501  0.01
Pm  0.3817  0.3817  0.8549  0.10
Te  0.4242  0.4242  0.7273  0.00
Te  0.3058  0.3058  0.0827  -0.01
Te  0.5758  0.5758  0.2727  0.00
Te  0.6942  0.6942  0.9173  -0.01
Sb  0.1411  0.1411  0.5766  0.00
Sb  0.8589  0.8589  0.4234  0.00

[9]
The following is a PBE-GGA calculation of a geometry-optimized Pm3Sb5Te12 structure, from Alexandria.

Summary:
As for the theoretical density: 5.6 Mg/m³. The value obtained for the uncorrected formation energy is -10.50 kcal/mol of atoms.

Unit cell a=15.8155 b=15.8155 c=15.8155 alpha=109.47 beta=109.47 gamma=109.47
Sites, in units of the cell vectors:
Sb  0.7500  0.1250  0.8750
Sb  0.8750  0.6250  0.7500
Sb  0.8750  0.2500  0.6250
Sb  0.0000  0.5000  0.5000
Sb  0.5000  0.5000  0.0000
Sb  0.6250  0.7500  0.8750
Sb  0.5000  0.5000  0.5000
Sb  0.7500  0.6250  0.3750
Sb  0.0000  0.5000  0.0000
Sb  0.3750  0.2500  0.1250
Sb  0.2500  0.8750  0.1250
Sb  0.1250  0.3750  0.2500
Sb  0.0000  0.0000  0.0000
Sb  0.3750  0.1250  0.7500
Sb  0.0000  0.0000  0.5000
Sb  0.1250  0.7500  0.3750
Sb  0.6250  0.8750  0.2500
Sb  0.5000  0.0000  0.0000
Sb  0.5000  0.0000  0.5000
Sb  0.2500  0.3750  0.6250
Te  0.3617  0.4145  0.0827
Te  0.3617  0.9472  0.7790
Te  0.9173  0.0855  0.6383
Te  0.1383  0.4173  0.0855
Te  0.7210  0.1383  0.0528
Te  0.4472  0.7790  0.8617
Te  0.7790  0.4472  0.3617
Te  0.9472  0.3617  0.2790
Te  0.9173  0.8318  0.7790
Te  0.5827  0.7210  0.6682
Te  0.2210  0.5528  0.6383
Te  0.0827  0.9145  0.3617
Te  0.5528  0.2210  0.1383
Te  0.0528  0.6383  0.7210
Te  0.0855  0.1682  0.4472
Te  0.8318  0.9145  0.0528
Te  0.4173  0.2790  0.3318
Te  0.4145  0.3617  0.5827
Te  0.6682  0.4472  0.5855
Te  0.5855  0.6383  0.4173
Te  0.6383  0.5855  0.9173
Te  0.9145  0.8318  0.5528
Te  0.8617  0.5827  0.9145
Te  0.4145  0.0528  0.3318
Te  0.2210  0.6682  0.0827
Te  0.4173  0.1383  0.5855
Te  0.2790  0.8617  0.9472
Te  0.0855  0.9173  0.1383
Te  0.5855  0.9472  0.6682
Te  0.3318  0.5528  0.4145
Te  0.6682  0.2210  0.5827
Te  0.0827  0.1682  0.2210
Te  0.8617  0.2790  0.4472
Te  0.1383  0.7210  0.5528
Te  0.7790  0.3318  0.9173
Te  0.5827  0.8617  0.4145
Te  0.6383  0.0528  0.2210
Te  0.7210  0.5827  0.1682
Te  0.1682  0.0827  0.7210
Te  0.2790  0.4173  0.8318
Te  0.0528  0.4145  0.8318
Te  0.3318  0.7790  0.4173
Te  0.4472  0.6682  0.0855
Te  0.5528  0.3318  0.9145
Te  0.9145  0.0827  0.8617
Te  0.1682  0.0855  0.9472
Te  0.9472  0.5855  0.1682
Te  0.8318  0.9173  0.2790
Pm  0.1250  0.2500  0.8750
Pm  0.2500  0.6250  0.8750
Pm  0.2500  0.1250  0.3750
Pm  0.3750  0.6250  0.2500
Pm  0.8750  0.7500  0.1250
Pm  0.7500  0.3750  0.1250
Pm  0.1250  0.8750  0.7500
Pm  0.3750  0.7500  0.6250
Pm  0.6250  0.3750  0.7500
Pm  0.7500  0.8750  0.6250
Pm  0.8750  0.1250  0.2500
Pm  0.6250  0.2500  0.3750

[10]
The following is a PBE-GGA calculation of a geometry-optimized Pm5Sb2Te2 structure, from Alexandria.

Summary:
As for the theoretical density: 7.5 Mg/m³. The value obtained for the uncorrected formation energy is -26.97 kcal/mol of atoms.

Unit cell a=8.2849 b=8.2752 c=8.9293 alpha=117.61 beta=90.00 gamma=90.00
Sites, in units of the cell vectors:
Te  0.5000  0.6992  0.3984
Te  0.0000  0.1992  0.3984
Te  0.0000  0.8008  0.6016
Te  0.5000  0.3008  0.6016
Pm  0.3414  0.9749  0.2694
Pm  0.3414  0.7055  0.7306
Pm  0.6586  0.0251  0.7306
Pm  0.1586  0.2055  0.7306
Pm  0.5000  0.5000  0.0000
Pm  0.8414  0.5251  0.7306
Pm  0.1586  0.4749  0.2694
Pm  0.6586  0.2945  0.2694
Pm  0.0000  0.0000  0.0000
Pm  0.8414  0.7945  0.2694
Sb  0.3587  0.1420  0.0000
Sb  0.8587  0.3580  0.0000
Sb  0.1413  0.6420  0.0000
Sb  0.6413  0.8580  0.0000

[11]
The following is a PBE-GGA calculation of a geometry-optimized PmThSbTe structure, from Alexandria.

Summary:
As for the theoretical density: 8.2 Mg/m³. The value obtained for the uncorrected formation energy is -26.18 kcal/mol of atoms.

Unit cell a=4.4826 b=4.4826 c=6.3347 alpha=90.00 beta=90.00 gamma=90.00
Sites, in units of the cell vectors:
Sb  0.0000  0.0000  0.0000
Pm  0.5000  0.5000  0.0000
Th  0.0000  0.0000  0.5000
Te  0.5000  0.5000  0.5000

[12]
The following is a PBE-GGA calculation of a geometry-optimized PmThSbTe structure, from Alexandria.

Summary:
As for the theoretical density: 9.1 Mg/m³. The value obtained for the uncorrected formation energy is -23.88 kcal/mol of atoms.

Unit cell a=5.4552 b=5.4552 c=5.4552 alpha=60.00 beta=60.00 gamma=60.00
Sites, in units of the cell vectors:
Th  0.0000  0.0000  0.0000
Sb  0.7500  0.7500  0.7500
Pm  0.5000  0.5000  0.5000
Te  0.2500  0.2500  0.2500

Question: What is the theoretical density in the seventh record?
Answer: 6.1 Mg/m³

Question: Which value of theoretical density does entry 6 give?
Answer: 7.2 Mg/m³

Question: Which value of theoretical density does entry 6 give?
Answer: 7.2 Mg/m³